Compound: PaMnAl2
Source: Alexandria via LeMat-Bulk
Functional: PBE
Structure: optimized geometry

abc: 3.0164 3.0164 7.4044
angles: 90.00 90.00 90.00
Element x y z (fractional)
Pa1 0.5000 0.5000 0.5000
Al1 0.0000 0.0000 0.1885
Mn1 0.5000 0.5000 0.0000
Al2 0.0000 0.0000 0.8115

The calculated formation energy is -4.07 kcal/mol of atoms. The value obtained for the density of states at the Fermi level is 4.228 states/eV/f.u.